A relaxed NiCO3 crystal. Source: Alexandria via LeMat-Bulk, functional PBE+U.

CIF file:
```
data_NiCO3
_chemical_formula_sum 'Ni1 C1 O3'
_symmetry_space_group_name_H-M 'P m -3 m'
_symmetry_Int_Tables_number 221
_symmetry_space_group_name_Hall '-P 4 2 3'
_cell_length_a 3.623
_cell_length_b 3.623
_cell_length_c 3.623
_cell_angle_alpha 90.00
_cell_angle_beta 90.00
_cell_angle_gamma 90.00
loop_
_atom_site_label
_atom_site_type_symbol
_atom_site_fract_x
_atom_site_fract_y
_atom_site_fract_z
Ni1 Ni 0.000 0.000 0.000
C1 C 0.500 0.500 0.500
O1 O 0.000 0.000 0.500
```

Computed properties:
E_tot	-3.906	eV per atom